Record 1
A relaxed Tb12PrHo2 crystal. Source: the Alexandria database, functional GGA-PBE.

Calculated values
The calculation puts the density at 8.11 g/cm3. The final energy is -4.524 eV per atom. Its calculated formation energy is 0.11 eV per atom.

Cell: 6.643 6.643 24.944 Å, 83.37 96.63 65.00°
Fractional positions:
Tb  0.594  0.400  0.797
Tb  0.100  0.906  0.797
Tb  0.894  0.606  0.859
Tb  0.443  0.557  0.925
Tb  0.995  0.001  0.330
Tb  0.057  0.943  0.075
Tb  0.668  0.333  0.555
Tb  0.499  0.505  0.330
Tb  0.396  0.104  0.862
Tb  0.606  0.894  0.141
Tb  0.183  0.317  0.575
Tb  0.832  0.167  0.445
Tb  0.001  0.995  0.670
Tb  0.317  0.183  0.425
Tb  0.104  0.396  0.138
Tb  0.819  0.681  0.426
Tb  0.681  0.819  0.574
Tb  0.906  0.100  0.203
Tb  0.167  0.832  0.555
Tb  0.505  0.499  0.670
Tb  0.943  0.057  0.925
Tb  0.400  0.594  0.203
Tb  0.333  0.668  0.445
Tb  0.557  0.443  0.075
Pr  0.501  0.999  0.001
Pr  0.999  0.501  0.999
Ho  0.453  0.047  0.273
Ho  0.956  0.544  0.273
Ho  0.047  0.453  0.727
Ho  0.544  0.956  0.727

=====

Record 2
A relaxed BaW2I crystal. Source: the Alexandria database, functional GGA-PBE.

Calculated values
The calculation puts the density at 11.97 g/cm3. The final energy is -5.269 eV per atom. The energy above the most stable polymorph in this dataset is 16.434 kcal/mol of atoms. The raw formation energy is 2.08 eV/atom.

Cell: 4.987 4.987 4.987 Å, 60.00 60.00 60.00°
Fractional positions:
I  0.000  0.000  0.000
Ba  0.500  0.500  0.500
W  0.250  0.250  0.250
W  0.750  0.750  0.750

=====

Record 3
A relaxed Tl6PO12 crystal. Source: the Alexandria database, functional GGA-PBE.

Calculated values
The calculation puts the density at 9.33 g/cm3. The final energy is -4.965 eV per atom. The raw formation energy is -0.80 eV/atom.

Cell: 6.425 6.425 6.425 Å, 97.45 97.45 97.45°
Last column: magnetic moment on the atom in μB.
Fractional positions:
Tl  0.709  0.868  0.394  0.00
Tl  0.606  0.291  0.132  0.00
Tl  0.132  0.606  0.291  0.00
Tl  0.291  0.132  0.606  0.00
Tl  0.394  0.709  0.868  0.00
Tl  0.868  0.394  0.709  0.00
P  0.000  0.000  0.000  -0.01
O  0.826  0.572  0.394  0.00
O  0.394  0.826  0.572  0.00
O  0.572  0.394  0.826  0.00
O  0.174  0.428  0.606  0.00
O  0.606  0.174  0.428  0.00
O  0.428  0.606  0.174  0.00
O  0.061  0.978  0.268  0.17
O  0.022  0.732  0.939  0.17
O  0.732  0.939  0.022  0.17
O  0.939  0.022  0.732  0.17
O  0.978  0.268  0.061  0.17
O  0.268  0.061  0.978  0.17

=====

Record 4
A relaxed RbSb2RuI crystal. Source: the Alexandria database, functional GGA-PBE.

Calculated values
The calculation puts the density at 3.95 g/cm3. The final energy is -2.093 eV per atom. The energy above the most stable polymorph in this dataset is 45.514 kcal/mol of atoms. The raw formation energy is 1.91 eV/atom.

Cell: 6.113 6.113 6.266 Å, 90.00 90.00 90.00°
Last column: magnetic moment on the atom in μB.
Fractional positions:
I  0.000  0.000  0.500  -0.03
Sb  0.000  0.500  0.000  -0.15
Sb  0.500  0.000  0.000  -0.15
Rb  0.000  0.000  0.000  0.00
Ru  0.500  0.500  0.500  2.77

=====

Record 5
A relaxed Li2ScTa crystal. Source: the Alexandria database, functional GGA-PBE.

Calculated values
The calculation puts the density at 5.35 g/cm3. The final energy is -4.907 eV per atom. The energy above the most stable polymorph in this dataset is 9.621 kcal/mol of atoms. Its calculated formation energy is 0.60 eV per atom.

Cell: 5.471 5.471 5.471 Å, 137.32 137.32 61.94°
Fractional positions:
Li  0.000  0.000  0.000
Li  0.500  0.500  0.000
Sc  0.250  0.750  0.500
Ta  0.750  0.250  0.500

=====

Record 6
A relaxed Tb12ErTh2 crystal. Source: the Alexandria database, functional GGA-PBE.

Calculated values
The calculation puts the density at 8.69 g/cm3. The final energy is -4.875 eV per atom. Its calculated formation energy is 0.12 eV per atom.

Cell: 6.623 6.623 25.038 Å, 96.53 96.53 115.33°
Fractional positions:
Tb  0.600  0.600  0.799
Tb  0.100  0.100  0.799
Tb  0.946  0.946  0.927
Tb  0.399  0.899  0.864
Tb  0.997  0.997  0.330
Tb  0.101  0.601  0.136
Tb  0.684  0.184  0.578
Tb  0.497  0.497  0.330
Tb  0.446  0.446  0.927
Tb  0.554  0.554  0.073
Tb  0.167  0.167  0.555
Tb  0.816  0.316  0.422
Tb  0.003  0.003  0.670
Tb  0.333  0.333  0.445
Tb  0.054  0.054  0.073
Tb  0.833  0.833  0.445
Tb  0.667  0.667  0.555
Tb  0.900  0.900  0.201
Tb  0.184  0.684  0.578
Tb  0.503  0.503  0.670
Tb  0.899  0.399  0.864
Tb  0.400  0.400  0.201
Tb  0.316  0.816  0.422
Tb  0.601  0.101  0.136
Er  0.500  0.000  0.000
Er  0.000  0.500  0.000
Th  0.452  0.952  0.271
Th  0.952  0.452  0.271
Th  0.048  0.548  0.729
Th  0.548  0.048  0.729

=====

Record 7
A relaxed NaTi2Sb2 crystal. Source: the Alexandria database, functional GGA-PBE.

Calculated values
The calculation puts the density at 5.49 g/cm3. The final energy is -5.339 eV per atom. The energy above the most stable polymorph in this dataset is 0.346 kcal/mol of atoms. The raw formation energy is -0.27 eV/atom.

Cell: 7.947 7.947 3.467 Å, 90.00 90.00 90.00°
Fractional positions:
Sb  0.343  0.843  0.000
Sb  0.843  0.657  0.000
Sb  0.657  0.157  0.000
Sb  0.157  0.343  0.000
Na  0.000  0.000  0.000
Na  0.500  0.500  0.000
Ti  0.130  0.630  0.500
Ti  0.630  0.870  0.500
Ti  0.870  0.370  0.500
Ti  0.370  0.130  0.500

=====

Record 8
A relaxed KNbCr2 crystal. Source: the Alexandria database, functional GGA-PBE.

Calculated values
The calculation puts the density at 3.17 g/cm3. The final energy is -5.986 eV per atom. The energy above the most stable polymorph in this dataset is 4.809 kcal/mol of atoms. Its calculated formation energy is 1.62 eV per atom.

Cell: 5.543 5.543 8.957 Å, 71.97 71.97 90.00°
Last column: magnetic moment on the atom in μB.
Fractional positions:
Cr  0.874  0.125  0.250  3.09
Cr  0.876  0.625  0.250  3.08
Cr  0.375  0.126  0.750  3.10
Cr  0.875  0.124  0.750  3.27
Nb  0.000  0.000  0.000  -1.36
Nb  0.750  0.250  0.500  -1.36
K  0.500  0.500  0.000  0.01
K  0.250  0.750  0.500  0.01

=====

Record 9
A relaxed NdY2Er12 crystal. Source: the Alexandria database, functional GGA-PBE.

Calculated values
The calculation puts the density at 7.68 g/cm3. The final energy is -4.462 eV per atom. Its calculated formation energy is 0.37 eV per atom.

Cell: 6.394 6.394 24.623 Å, 90.00 90.00 90.00°
Fractional positions:
Nd  0.500  0.000  0.000
Nd  0.000  0.500  0.000
Y  0.500  0.000  0.272
Y  0.000  0.500  0.272
Y  0.000  0.500  0.728
Y  0.500  0.000  0.728
Er  0.500  0.500  0.785
Er  0.000  0.000  0.785
Er  0.750  0.750  0.886
Er  0.250  0.750  0.886
Er  0.000  0.000  0.340
Er  0.250  0.750  0.114
Er  0.831  0.331  0.561
Er  0.500  0.500  0.340
Er  0.250  0.250  0.886
Er  0.750  0.750  0.114
Er  0.331  0.169  0.561
Er  0.669  0.169  0.439
Er  0.000  0.000  0.660
Er  0.169  0.331  0.439
Er  0.250  0.250  0.114
Er  0.831  0.669  0.439
Er  0.669  0.831  0.561
Er  0.000  0.000  0.215
Er  0.169  0.669  0.561
Er  0.500  0.500  0.660
Er  0.750  0.250  0.886
Er  0.500  0.500  0.215
Er  0.331  0.831  0.439
Er  0.750  0.250  0.114

=====

Record 10
A relaxed MnTlHg crystal. Source: the Alexandria database, functional GGA-PBE.

Calculated values
The calculation puts the density at 11.15 g/cm3. The final energy is -3.523 eV per atom. The energy above the most stable polymorph in this dataset is 1.576 kcal/mol of atoms. Its calculated formation energy is 0.42 eV per atom.

Cell: 4.714 4.714 3.559 Å, 90.00 90.00 120.00°
Last column: magnetic moment on the atom in μB.
Fractional positions:
Hg  0.000  0.000  0.064  -0.03
Mn  0.667  0.333  0.282  3.92
Tl  0.333  0.667  0.654  -0.04

=====

Record 11
A relaxed Zr2Mo crystal. Source: the Alexandria database, functional GGA-PBE.

Calculated values
The calculation puts the density at 7.49 g/cm3. The final energy is -8.601 eV per atom. The energy above the most stable polymorph in this dataset is 16.355 kcal/mol of atoms. Its calculated formation energy is 0.71 eV per atom.

Cell: 5.590 5.590 5.590 Å, 60.00 60.00 60.00°
Fractional positions:
Zr  0.625  0.625  0.625
Zr  0.125  0.625  0.625
Zr  0.625  0.125  0.625
Zr  0.625  0.625  0.125
Mo  0.000  0.000  0.000
Mo  0.250  0.250  0.250

=====

Record 12
A relaxed MnBe2W crystal. Source: the Alexandria database, functional GGA-PBE.

Calculated values
The calculation puts the density at 9.69 g/cm3. The final energy is -7.248 eV per atom. The energy above the most stable polymorph in this dataset is 4.324 kcal/mol of atoms. Its calculated formation energy is 0.15 eV per atom.

Cell: 4.177 4.177 4.177 Å, 127.93 127.93 76.74°
Last column: magnetic moment on the atom in μB.
Fractional positions:
Be  0.000  0.000  0.000  -0.01
Be  0.500  0.500  0.000  -0.01
Mn  0.250  0.750  0.500  1.56
W  0.750  0.250  0.500  -0.17